## K3TlCl8 (PBE)

Data for a geometry-optimized K3TlCl8 structure.

As for the magnetization: 0.165 μB/atom. The value obtained for the uncorrected formation energy is -1143 kJ/mol of formula units.

The structure belongs to space group I4/mmm (No. 139); the cell edges are 7.0708, 7.0708 and 15.0267 Å and the angles 90.00°, 90.00° and 90.00°. The distinct sites, in fractional coordinates, are K at (0.0000, 0.0000, 0.0000), K at (0.0000, 0.5000, 0.2500), Tl at (0.0000, 0.0000, 0.5000) and Cl at (0.2268, 0.2268, 0.3874).

=====

## ZrSn2Pd (PBE)

Data for a geometry-optimized ZrSn2Pd structure.

The formation energy is -24 kJ/mol of atoms. As for the magnetization: 0.102 μB/atom.

The structure belongs to space group Fm-3m (No. 225); the cell edges are 6.9389, 6.9389 and 6.9389 Å and the angles 90.00°, 90.00° and 90.00°. The distinct sites, in fractional coordinates, are Zr at (0.0000, 0.0000, 0.0000), Sn at (0.2500, 0.2500, 0.2500) and Pd at (0.0000, 0.0000, 0.5000).

=====

## PuNpO2 (PBE)

Data for a geometry-optimized PuNpO2 structure.

As for the magnetization: 2.664 μB/atom. The value obtained for the uncorrected formation energy is -669 kJ/mol of formula units.

The structure belongs to space group P4/mmm (No. 123); the cell edges are 4.3367, 4.3367 and 3.0672 Å and the angles 90.00°, 90.00° and 90.00°. The distinct sites, in fractional coordinates, are Pu at (0.0000, 0.0000, 0.0000), Np at (0.5000, 0.5000, 0.0000) and O at (0.0000, 0.5000, 0.5000).

=====

## VAgI4 (PBE)

Data for a geometry-optimized VAgI4 structure.

As for the magnetization: 0.332 μB/atom. The value obtained for the uncorrected formation energy is -207 kJ/mol of formula units.

The structure belongs to space group C2/m (No. 12); the cell edges are 15.8956, 4.1191 and 7.5898 Å and the angles 90.00°, 118.16° and 90.00°. The distinct sites, in fractional coordinates, are V at (0.0000, 0.0000, 0.0000), Ag at (0.0000, 0.5000, 0.5000), I at (0.1062, 0.0000, 0.4115) and I at (0.1172, 0.5000, 0.9847).

=====

## AcLa5Nd (PBE)

Data for a geometry-optimized AcLa5Nd structure.

The formation energy is 7 kJ/mol of atoms. As for the magnetization: 0.000 μB/atom.

The structure belongs to space group C2/c (No. 15); the cell edges are 9.0682, 10.3597 and 12.0465 Å and the angles 90.00°, 109.21° and 90.00°. The distinct sites, in fractional coordinates, are Ac at (0.2500, 0.2500, 0.0000), La at (0.0000, 0.0866, 0.7500), La at (0.1240, 0.4304, 0.6682), La at (0.1734, 0.1046, 0.5355) and Nd at (0.0000, 0.2541, 0.2500).

=====

## ScTaCrCoAs (PBE)

Data for a geometry-optimized ScTaCrCoAs structure.

The formation energy is -12 kJ/mol of atoms. As for the magnetization: 0.000 μB/atom.

The structure belongs to space group P1 (No. 1); the cell edges are 3.3187, 4.9215 and 5.1832 Å and the angles 90.60°, 90.01° and 109.51°. The distinct sites, in fractional coordinates, are Sc at (0.0000, 0.0000, 0.0000), Ta at (0.5980, 0.1939, 0.4941), Cr at (0.2769, 0.5463, 0.2142), Co at (0.2815, 0.5558, 0.7750) and As at (0.8820, 0.7580, 0.4996).

=====

## PmGaAg3 (PBE)

Data for a geometry-optimized PmGaAg3 structure.

The formation energy is -19 kJ/mol of atoms. As for the magnetization: 0.000 μB/atom.

The structure belongs to space group Fmm2 (No. 42); the cell edges are 6.0393, 7.8582 and 9.2388 Å and the angles 90.00°, 90.00° and 90.00°. The distinct sites, in fractional coordinates, are Pm at (0.0000, 0.0000, 0.0000), Ga at (0.0000, 0.0000, 0.3522), Ag at (0.0000, 0.0000, 0.6249) and Ag at (0.2500, 0.2500, 0.2602).

=====

## AlTcI2 (PBE)

Data for a geometry-optimized AlTcI2 structure.

As for the magnetization: 0.000 μB/atom. The value obtained for the uncorrected formation energy is 120 kJ/mol of formula units.

The structure belongs to space group I-42d (No. 122); the cell edges are 9.7635, 9.7635 and 4.9526 Å and the angles 90.00°, 90.00° and 90.00°. The distinct sites, in fractional coordinates, are Al at (0.0000, 0.0000, 0.0000), Tc at (0.0000, 0.0000, 0.5000) and I at (0.1025, 0.2500, 0.6250).

=====

## NaSr2LaAg (PBE)

Data for a geometry-optimized NaSr2LaAg structure.

The formation energy is 7 kJ/mol of atoms. As for the magnetization: 0.000 μB/atom.

The structure belongs to space group P4/mmm (No. 123); the cell edges are 6.2623, 6.2623 and 5.8737 Å and the angles 90.00°, 90.00° and 90.00°. The distinct sites, in fractional coordinates, are Na at (0.0000, 0.0000, 0.0000), Sr at (0.0000, 0.5000, 0.5000), La at (0.5000, 0.5000, 0.0000) and Ag at (0.5000, 0.5000, 0.5000).

=====

## La5Pm2ErTm (PBE)

Data for a geometry-optimized La5Pm2ErTm structure.

The formation energy is 26 kJ/mol of atoms. As for the magnetization: 0.000 μB/atom.

The structure belongs to space group I4/mcm (No. 140); the cell edges are 8.5310, 8.5310 and 17.7326 Å and the angles 90.00°, 90.00° and 90.00°. The distinct sites, in fractional coordinates, are La at (0.0000, 0.0000, 0.0000), La at (0.2223, 0.2777, 0.1432), Pm at (0.1254, 0.3746, 0.5000), Er at (0.0000, 0.0000, 0.2500) and Tm at (0.0000, 0.5000, 0.2500).

=====

## LaSb2WI (PBE)

Data for a geometry-optimized LaSb2WI structure.

As for the magnetization: 0.059 μB/atom. The value obtained for the uncorrected formation energy is 817 kJ/mol of formula units.

The structure belongs to space group P4/mmm (No. 123); the cell edges are 6.0810, 6.0810 and 5.8951 Å and the angles 90.00°, 90.00° and 90.00°. The distinct sites, in fractional coordinates, are La at (0.0000, 0.0000, 0.0000), Sb at (0.0000, 0.5000, 0.0000), W at (0.5000, 0.5000, 0.5000) and I at (0.0000, 0.0000, 0.5000).

=====

## BiTe3F (PBE)

Data for a geometry-optimized BiTe3F structure.

As for the magnetization: 0.419 μB/atom. The value obtained for the uncorrected formation energy is 240 kJ/mol of formula units.

The structure belongs to space group Pm-3m (No. 221); the cell edges are 5.8865, 5.8865 and 5.8865 Å and the angles 90.00°, 90.00° and 90.00°. The distinct sites, in fractional coordinates, are Bi at (0.0000, 0.0000, 0.0000), Te at (0.0000, 0.0000, 0.5000) and F at (0.5000, 0.5000, 0.5000).

=====

## SrEuAs (PBE)

Data for a geometry-optimized SrEuAs structure.

The formation energy is -72 kJ/mol of atoms. As for the magnetization: 2.447 μB/atom.

The structure belongs to space group I4mm (No. 107); the cell edges are 3.8880, 3.8880 and 13.8698 Å and the angles 90.00°, 90.00° and 90.00°. The distinct sites, in fractional coordinates, are Sr at (0.0000, 0.0000, 0.0000), Eu at (0.0000, 0.0000, 0.2367) and As at (0.0000, 0.0000, 0.6270).

=====

## Pr4TlOs (PBE)

Data for a geometry-optimized Pr4TlOs structure.

The formation energy is -19 kJ/mol of atoms. As for the magnetization: 0.000 μB/atom.

The structure belongs to space group C2/c (No. 15); the cell edges are 8.9996, 13.6944 and 6.3814 Å and the angles 90.00°, 107.69° and 90.00°. The distinct sites, in fractional coordinates, are Pr at (0.1108, 0.1692, 0.0492), Pr at (0.2211, 0.4235, 0.3922), Tl at (0.0000, 0.3773, 0.7500) and Os at (0.0000, 0.9998, 0.2500).

=====

## MnAl6 (PBE)

Data for a geometry-optimized MnAl6 structure.

The formation energy is -17 kJ/mol of atoms. As for the magnetization: 0.000 μB/atom.

The structure belongs to space group Cmcm (No. 63); the cell edges are 7.5403, 6.4564 and 8.8167 Å and the angles 90.00°, 90.00° and 90.00°. The distinct sites, in fractional coordinates, are Mn at (0.0000, 0.0431, 0.2500), Al at (0.0000, 0.3598, 0.1004), Al at (0.1733, 0.0000, 0.0000) and Al at (0.1827, 0.2858, 0.7500).

=====

## Nd6AsIr2Br3 (PBE)

Data for a geometry-optimized Nd6AsIr2Br3 structure.

As for the magnetization: 0.000 μB/atom. The value obtained for the uncorrected formation energy is -1372 kJ/mol of formula units.

The structure belongs to space group C2/m (No. 12); the cell edges are 7.3397, 12.7041 and 8.0304 Å and the angles 90.00°, 107.60° and 90.00°. The distinct sites, in fractional coordinates, are Nd at (0.2169, 0.0000, 0.1988), Nd at (0.2409, 0.3255, 0.1992), As at (0.0000, 0.5000, 0.0000), Ir at (0.0000, 0.1670, 0.0000), Br at (0.0000, 0.0000, 0.5000) and Br at (0.0000, 0.3376, 0.5000).